w:
First-principles (PBE) data for LiLa2MgNi after structural relaxation, as listed in the Alexandria database.

Properties
- Mass density: 4.12 g/cm³
- Volume: 29.64 A^3/atom
- Fermi-level density of states: 1.016 states/eV per atom

a b c (Å): 5.4079 5.4079 5.0678
angles (deg): 90.00 90.00 90.00
Closest atoms and distances in Å follow each position.
Element x y z (fractional)
Li 0.0000 0.0000 0.0000  8 La 3.71, 4 Mg 3.82
La 0.0000 0.5000 0.5000  2 Ni 2.70
La 0.5000 0.0000 0.5000  2 Ni 2.70
Mg 0.5000 0.5000 0.0000  2 Ni 2.53
Ni 0.5000 0.5000 0.5000  2 Mg 2.53, 4 La 2.70


x:
First-principles (PBE) data for LiLa2MgNi after structural relaxation, as listed in the Alexandria database.

Properties
- Mass density: 4.26 g/cm³
- Volume: 28.67 A^3/atom
- Fermi-level density of states: 1.110 states/eV per atom

a b c (Å): 5.3914 5.3914 4.9313
angles (deg): 90.00 90.00 90.00
Closest atoms and distances in Å follow each position.
Element x y z (fractional)
Li 0.0000 0.0000 0.0000  2 Ni 2.47
La 0.0000 0.5000 0.5000  2 Ni 2.70
La 0.5000 0.0000 0.5000  2 Ni 2.70
Mg 0.5000 0.5000 0.0000  8 La 3.65, 4 Li 3.81
Ni 0.0000 0.0000 0.5000  2 Li 2.47, 4 La 2.70


Result of the stability comparison: x is the least stable of them.


w:
First-principles (PBE) data for LiLa2MgRu after structural relaxation, as listed in the Alexandria database.

Properties
- Mass density: 4.38 g/cm³
- Volume: 31.08 A^3/atom
- Fermi-level density of states: 0.934 states/eV per atom

a b c (Å): 5.3933 5.3933 5.3424
angles (deg): 90.00 90.00 90.00
Closest atoms and distances in Å follow each position.
Element x y z (fractional)
Li 0.0000 0.0000 0.0000  8 La 3.80, 4 Mg 3.81
La 0.0000 0.5000 0.5000  2 Ru 2.70
La 0.5000 0.0000 0.5000  2 Ru 2.70
Mg 0.5000 0.5000 0.0000  2 Ru 2.67
Ru 0.5000 0.5000 0.5000  2 Mg 2.67, 4 La 2.70


x:
First-principles (PBE) data for LiLa2MgRu after structural relaxation, as listed in the Alexandria database.

Properties
- Mass density: 4.60 g/cm³
- Volume: 29.63 A^3/atom
- Fermi-level density of states: 0.794 states/eV per atom

a b c (Å): 5.3331 5.3331 5.2092
angles (deg): 90.00 90.00 90.00
Closest atoms and distances in Å follow each position.
Element x y z (fractional)
Li 0.0000 0.0000 0.0000  2 Ru 2.60
La 0.0000 0.5000 0.5000  2 Ru 2.67
La 0.5000 0.0000 0.5000  2 Ru 2.67
Mg 0.5000 0.5000 0.0000  8 La 3.73, 4 Li 3.77
Ru 0.0000 0.0000 0.5000  2 Li 2.60, 4 La 2.67


Result of the stability comparison: x is the least stable of them.


w:
First-principles (PBE) data for LiLaMgSn2 after structural relaxation, as listed in the Alexandria database.

Properties
- Mass density: 5.23 g/cm³
- Volume: 25.88 A^3/atom
- Fermi-level density of states: 0.660 states/eV per atom

a b c (Å): 4.5464 4.5464 12.5195
angles (deg): 90.00 90.00 90.00
Closest atoms and distances in Å follow each position.
Element x y z (fractional)
Li 0.0000 0.0000 0.0000  4 Sn 2.84
Li 0.5000 0.5000 0.5000  4 Sn 2.84
La 0.0000 0.5000 0.2500  8 Sn 3.51, 4 Li 3.87, 4 Mg 3.87
La 0.5000 0.0000 0.7500  8 Sn 3.51, 4 Mg 3.87, 4 Li 3.87
Mg 0.0000 0.0000 0.5000  4 Sn 2.84
Mg 0.5000 0.5000 0.0000  4 Sn 2.84
Sn 0.0000 0.5000 0.6366  1 Sn 2.84, 2 Li 2.84, 2 Mg 2.84
Sn 0.0000 0.5000 0.8634  1 Sn 2.84, 2 Li 2.84, 2 Mg 2.84
Sn 0.5000 0.0000 0.1366  1 Sn 2.84, 2 Mg 2.84, 2 Li 2.84
Sn 0.5000 0.0000 0.3634  1 Sn 2.84, 2 Li 2.84, 2 Mg 2.84


x:
First-principles (PBE) data for LiLaMgSn2 after structural relaxation, as listed in the Alexandria database.

Properties
- Mass density: 5.13 g/cm³
- Volume: 26.37 A^3/atom
- Fermi-level density of states: 0.600 states/eV per atom

a b c (Å): 5.0035 5.0035 5.2657
angles (deg): 90.00 90.00 90.00
Closest atoms and distances in Å follow each position.
Element x y z (fractional)
Li 0.0000 0.0000 0.0000  4 Sn 2.50, 2 La 2.63
La 0.0000 0.0000 0.5000  2 Li 2.63
Mg 0.5000 0.5000 0.5000  4 La 3.54, 8 Sn 3.63
Sn 0.0000 0.5000 0.0000  2 Li 2.50
Sn 0.5000 0.0000 0.0000  2 Li 2.50


Result of the stability comparison: x is the least stable of them.


w:
First-principles (PBE) data for LiLaMn3 after structural relaxation, as listed in the Alexandria database.

Properties
- Mass density: 5.30 g/cm³
- Volume: 19.48 A^3/atom
- Fermi-level density of states: 1.194 states/eV per atom

a b c (Å): 4.6006 4.6006 4.6006
angles (deg): 90.00 90.00 90.00
Closest atoms and distances in Å follow each position.
Element x y z (fractional)
Li 0.0000 0.0000 0.0000  6 Mn 2.30
La 0.5000 0.5000 0.5000  12 Mn 3.25
Mn 0.0000 0.0000 0.5000  2 Li 2.30
Mn 0.0000 0.5000 0.0000  2 Li 2.30
Mn 0.5000 0.0000 0.0000  2 Li 2.30


x:
First-principles (PBE) data for LiLaMn3 after structural relaxation, as listed in the Alexandria database.

Properties
- Mass density: 5.77 g/cm³
- Volume: 17.87 A^3/atom
- Fermi-level density of states: 3.077 states/eV per atom

a b c (Å): 4.4708 4.4708 4.4708
angles (deg): 90.00 90.00 90.00
Closest atoms and distances in Å follow each position.
Element x y z (fractional)
Li 0.0000 0.0000 0.0000  12 Mn 3.16
La 0.5000 0.5000 0.5000  6 Mn 2.24
Mn 0.0000 0.5000 0.5000  2 La 2.24
Mn 0.5000 0.0000 0.5000  2 La 2.24
Mn 0.5000 0.5000 0.0000  2 La 2.24


Result of the stability comparison: x is the least stable of them.